First-principles (PBE with a Hubbard U) data for a geometry-optimized Sm2YMoO8 structure, as listed in Alexandria.

Computed properties:
Final energy = -93.853 eV for the cell shown
M_tot = 1.04 μB per formula unit
Space-group type = P2/m, No. 10

Cell: 5.152 5.153 6.896 Å, 90.00 90.00 90.82°
Site moments in Bohr magnetons follow the coordinates.
Atoms (fractional coordinates):
1 O 0.821 0.180 0.211  0.11
2 O 0.304 0.302 0.500  0.09
3 O 0.179 0.820 0.211  0.11
4 O 0.821 0.180 0.789  0.11
5 O 0.179 0.820 0.789  0.11
6 O 0.269 0.267 0.000  0.18
7 O 0.696 0.698 0.500  0.09
8 O 0.731 0.733 0.000  0.18
9 Mo 0.000 0.000 0.000  -0.12
10 Sm 0.500 0.500 0.250  -0.01
11 Sm 0.500 0.500 0.750  -0.01
12 Y 0.000 0.000 0.500  0.00